# 1
# AsOs2F PBE-GGA relaxed
data_AsOs2F
_chemical_formula_sum 'As4 Os8 F4'
_space_group_name_H-M_alt 'I -4 2 d'
_space_group_IT_number 122
_space_group_name_Hall 'I -4 2bw'
_cell_length_a 8.012
_cell_length_b 8.012
_cell_length_c 4.168
_cell_angle_alpha 90.00
_cell_angle_beta 90.00
_cell_angle_gamma 90.00
loop_
_atom_site_label
_atom_site_fract_x
_atom_site_fract_y
_atom_site_fract_z
As1 0.000 0.000 0.000
Os1 0.175 0.250 0.125
F1 0.000 0.000 0.500
# E above lowest polymorph: 0 meV per atom
# D(E_F): 0.010 states/eV/atom
# Uncorrected formation energy: 370.5 meV per atom
# Total DFT energy (no corrections): -6.87 eV per atom

---

# 2
# Rb2AsOsF6 PBE-GGA relaxed
data_Rb2AsOsF6
_chemical_formula_sum 'Rb4 As2 Os2 F12'
_space_group_name_H-M_alt 'I 4/m m m'
_space_group_IT_number 139
_space_group_name_Hall '-I 4 2'
_cell_length_a 5.926
_cell_length_b 5.926
_cell_length_c 10.940
_cell_angle_alpha 90.00
_cell_angle_beta 90.00
_cell_angle_gamma 90.00
loop_
_atom_site_label
_atom_site_fract_x
_atom_site_fract_y
_atom_site_fract_z
Rb1 0.000 0.500 0.250
As1 0.000 0.000 0.000
Os1 0.000 0.000 0.500
F1 0.000 0.000 0.313
F2 0.247 0.247 0.500
# D(E_F): 0.028 states/eV/atom
# Uncorrected formation energy: -1682.8 meV per atom
# Total DFT energy (no corrections): -4.59 eV per atom